MgZrCr: optimized geometry, PBE.

abc: 4.8877 3.1250 7.8053
angles: 90.00 108.15 90.00
Element x y z (fractional)
Mg 0.8620 0.0000 0.0045
Mg 0.4852 0.0000 0.2525
Zr 0.6825 0.5000 0.6494
Zr 0.0501 0.5000 0.3836
Cr 0.3160 0.5000 0.9138
Cr 0.2015 0.0000 0.6884

Summary:
DOS(E_F) ... 2.85 states/eV/f.u.
Total magnetic moment ... 0.5 μB per formula unit
Mass density ... 4.91 g cm⁻³
E_form ... 0.218 eV/atom
Space group ... Pm (6)
Energy ... -6.37 eV/atom